VASP calculation (PBE) on crystalline NaMgMnP2 at its relaxed geometry.

## Properties
Energy of formation = 1.106 eV/atom
Magnetization = 0.03 μB per formula unit

abc: 4.8244 4.8244 4.6575
angles: 90.00 90.00 90.00
Atoms (fractional coordinates):
1 Na 0.0000 0.0000 0.0000
2 Mg 0.5000 0.5000 0.5000
3 Mn 0.5000 0.5000 0.0000
4 P 0.0000 0.5000 0.5000
5 P 0.5000 0.0000 0.5000


VASP calculation (PBE) on crystalline NaMg2MnRu at its relaxed geometry.

## Properties
Energy of formation = 0.387 eV/atom
Magnetization = 3.44 μB per formula unit

abc: 5.1044 5.1044 4.5992
angles: 90.00 90.00 90.00
Atoms (fractional coordinates):
1 Na 0.0000 0.0000 0.0000
2 Mg 0.0000 0.5000 0.5000
3 Mg 0.5000 0.0000 0.5000
4 Mn 0.5000 0.5000 0.0000
5 Ru 0.5000 0.5000 0.5000